Density functional theory data (PBEsol) for LaSc2Zn after structural relaxation.

Cell lengths 3.3675, 3.3675, 8.1684 Å; angles 90.00, 90.00, 90.00 degrees
Sites, in units of the cell vectors:
La1 0.0000 0.0000 0.0000
Sc1 0.5000 0.5000 0.3048
Sc2 0.5000 0.5000 0.6952
Zn1 0.0000 0.0000 0.5000

Summary:
Symmetry   No. 123



Density functional theory data (PBEsol) for LaScZn4 after structural relaxation.

Cell lengths 5.3591, 5.3591, 5.3591 Å; angles 60.00, 60.00, 60.00 degrees
Sites, in units of the cell vectors:
La1 0.0000 0.0000 0.0000
Sc1 0.7500 0.7500 0.7500
Zn1 0.3759 0.3759 0.3759
Zn2 0.3759 0.3759 0.8723
Zn3 0.3759 0.8723 0.3759
Zn4 0.8723 0.3759 0.3759

Summary:
Symmetry   No. 216



These records have ΔE_f values of -0.15; -0.32 eV/atom, in the order they appear.